# 1
VASP calculation (GGA-PBE) on an optimized crystal structure of Sr2ScSn3Pt4.

* uncorrected energy: -54.6 eV per formula unit
* spin magnetization: 0.00 μB/cell
* energy relative to the elements: -0.874 eV/atom

Cell lengths 4.6041, 4.6041, 11.1118 Å; angles 90.00, 90.00, 90.00 degrees
Last column: nearest neighbours and their distance in Å.
Sites, in units of the cell vectors:
1 Sr 0.5000 0.0000 0.2372  6 Sn 3.48-3.72, 8 Pt 3.50-3.55, 2 Sc 3.72
2 Sr 0.0000 0.5000 0.7628  6 Sn 3.48-3.72, 8 Pt 3.50-3.55, 2 Sc 3.72
3 Sc 0.5000 0.5000 0.5000  4 Pt 2.75
4 Sn 0.0000 0.0000 0.5000  4 Pt 2.75
5 Sn 0.5000 0.0000 0.8746  5 Pt 2.67-2.69
6 Sn 0.0000 0.5000 0.1254  5 Pt 2.67-2.69
7 Pt 0.5000 0.5000 0.0000  4 Sn 2.69
8 Pt 0.0000 0.0000 0.0000  4 Sn 2.69
9 Pt 0.5000 0.0000 0.6347  3 Sn 2.67-2.75, 2 Sc 2.75
10 Pt 0.0000 0.5000 0.3653  3 Sn 2.67-2.75, 2 Sc 2.75

***

# 2
VASP calculation (GGA-PBE) on an optimized crystal structure of ScTaSn2Pt.

* uncorrected energy: -25.9 eV per formula unit
* spin magnetization: 0.00 μB/cell
* energy relative to the elements: 1.264 eV/atom

Cell lengths 5.2277, 4.7441, 5.2277 Å; angles 90.00, 90.00, 90.00 degrees
Last column: nearest neighbours and their distance in Å.
Sites, in units of the cell vectors:
1 Sc 0.0000 0.0000 0.0000  2 Ta 2.37, 4 Sn 2.61
2 Sn 0.0000 0.0000 0.5000  2 Sc 2.61
3 Sn 0.5000 0.0000 0.0000  2 Sc 2.61
4 Pt 0.5000 0.5000 0.5000  8 Sn 3.53, 4 Ta 3.70
5 Ta 0.0000 0.5000 0.0000  2 Sc 2.37

***

# 3
VASP calculation (GGA-PBE) on an optimized crystal structure of TbScSnPt.

* uncorrected energy: -24.3 eV per formula unit
* spin magnetization: 0.00 μB/cell
* energy relative to the elements: -0.817 eV/atom

Cell lengths 5.0216, 5.0216, 5.0216 Å; angles 60.00, 60.00, 60.00 degrees
Last column: nearest neighbours and their distance in Å.
Sites, in units of the cell vectors:
1 Sc 0.5000 0.5000 0.5000  4 Sn 3.08, 4 Pt 3.08
2 Tb 0.0000 0.0000 0.0000  4 Sn 3.08, 4 Pt 3.08
3 Sn 0.2500 0.2500 0.2500  4 Tb 3.08, 4 Sc 3.08
4 Pt 0.7500 0.7500 0.7500  4 Tb 3.08, 4 Sc 3.08

***

# 4
VASP calculation (GGA-PBE) on an optimized crystal structure of ScTcSnPt.

* uncorrected energy: -29.0 eV per formula unit
* spin magnetization: 0.00 μB/cell
* energy relative to the elements: -0.564 eV/atom

Cell lengths 4.5982, 4.5982, 4.5982 Å; angles 60.00, 60.00, 60.00 degrees
Last column: nearest neighbours and their distance in Å.
Sites, in units of the cell vectors:
1 Sc 0.7500 0.7500 0.7500  4 Tc 2.82, 4 Pt 2.82
2 Sn 0.2500 0.2500 0.2500  4 Tc 2.82, 4 Pt 2.82
3 Pt 0.5000 0.5000 0.5000  4 Sn 2.82, 4 Sc 2.82
4 Tc 0.0000 0.0000 0.0000  4 Sn 2.82, 4 Sc 2.82

***

# 5
VASP calculation (GGA-PBE) on an optimized crystal structure of TmScSnPt.

* uncorrected energy: -24.2 eV per formula unit
* spin magnetization: 0.00 μB/cell
* energy relative to the elements: -0.839 eV/atom

Cell lengths 4.9724, 4.9724, 4.9724 Å; angles 60.00, 60.00, 60.00 degrees
Last column: nearest neighbours and their distance in Å.
Sites, in units of the cell vectors:
1 Sc 0.5000 0.5000 0.5000  4 Pt 3.04, 4 Sn 3.04
2 Tm 0.0000 0.0000 0.0000  4 Sn 3.04, 4 Pt 3.04
3 Sn 0.2500 0.2500 0.2500  4 Sc 3.04, 4 Tm 3.04
4 Pt 0.7500 0.7500 0.7500  4 Tm 3.04, 4 Sc 3.04

***

# 6
VASP calculation (GGA-PBE) on an optimized crystal structure of Y2ScSnPt.

* uncorrected energy: -25.8 eV per formula unit
* spin magnetization: 0.00 μB/cell
* energy relative to the elements: 0.699 eV/atom

Cell lengths 5.2552, 5.2009, 5.2552 Å; angles 90.00, 90.00, 90.00 degrees
Last column: nearest neighbours and their distance in Å.
Sites, in units of the cell vectors:
1 Y 0.0000 0.0000 0.5000  2 Sc 2.63
2 Y 0.5000 0.0000 0.0000  2 Sc 2.63
3 Sc 0.0000 0.0000 0.0000  2 Sn 2.60, 4 Y 2.63
4 Sn 0.0000 0.5000 0.0000  2 Sc 2.60
5 Pt 0.5000 0.5000 0.5000  8 Y 3.70, 4 Sn 3.72

***

# 7
VASP calculation (GGA-PBE) on an optimized crystal structure of SrScPt.

* uncorrected energy: -16.0 eV per formula unit
* spin magnetization: 0.00 μB/cell
* energy relative to the elements: -0.658 eV/atom
* E above lowest polymorph: 196 meV/atom

Cell lengths 6.7322, 6.7319, 3.5620 Å; angles 74.66, 74.65, 30.68 degrees
Last column: nearest neighbours and their distance in Å.
Sites, in units of the cell vectors:
1 Pt 0.9708 0.9708 0.0292  4 Sc 2.75
2 Sc 0.3828 0.3828 0.6172  4 Pt 2.75
3 Sr 0.6465 0.6465 0.3535  1 Sc 3.29, 4 Pt 3.34, 4 Sr 3.56

***

# 8
VASP calculation (GGA-PBE) on an optimized crystal structure of SrScPt.

* uncorrected energy: -16.6 eV per formula unit
* spin magnetization: 0.00 μB/cell
* energy relative to the elements: -0.853 eV/atom
* E above lowest polymorph: 0 meV/atom

Cell lengths 4.5374, 4.5374, 7.9860 Å; angles 90.00, 90.00, 90.00 degrees
Last column: nearest neighbours and their distance in Å.
Sites, in units of the cell vectors:
1 Sr 0.0000 0.5000 0.8539  5 Pt 3.46-3.64, 4 Sc 3.62
2 Sr 0.5000 0.0000 0.1461  5 Pt 3.46-3.64, 4 Sc 3.62
3 Pt 0.0000 0.5000 0.3094  4 Sc 2.73
4 Pt 0.5000 0.0000 0.6906  4 Sc 2.73
5 Sc 0.5000 0.5000 0.5000  4 Pt 2.73
6 Sc 0.0000 0.0000 0.5000  4 Pt 2.73

***

# 9
VASP calculation (GGA-PBE) on an optimized crystal structure of SrSc2Pt.

* uncorrected energy: -22.1 eV per formula unit
* spin magnetization: 0.00 μB/cell
* energy relative to the elements: -0.435 eV/atom
* E above lowest polymorph: 58 meV/atom

Cell lengths 8.9116, 8.9116, 8.9116 Å; angles 26.35, 26.35, 26.35 degrees
Last column: nearest neighbours and their distance in Å.
Sites, in units of the cell vectors:
1 Pt 0.2500 0.2500 0.2500  6 Sc 2.66
2 Sc 0.9650 0.9650 0.9650  3 Pt 2.66
3 Sc 0.5350 0.5350 0.5350  3 Pt 2.66
4 Sr 0.7500 0.7500 0.7500  6 Sc 3.85, 6 Sr 4.06

***

# 10
VASP calculation (GGA-PBE) on an optimized crystal structure of SrScPt3.

* uncorrected energy: -27.7 eV per formula unit
* spin magnetization: 0.00 μB/cell
* energy relative to the elements: -0.319 eV/atom
* E above lowest polymorph: 0 meV/atom

Cell lengths 4.9609, 4.9609, 4.9609 Å; angles 90.00, 90.00, 90.00 degrees
Last column: nearest neighbours and their distance in Å.
Sites, in units of the cell vectors:
1 Sc 0.0000 0.0000 0.0000  6 Pt 2.48
2 Sr 0.5000 0.5000 0.5000  12 Pt 3.51
3 Pt 0.0000 0.5000 0.0000  2 Sc 2.48
4 Pt 0.0000 0.0000 0.5000  2 Sc 2.48
5 Pt 0.5000 0.0000 0.0000  2 Sc 2.48

***

# 11
VASP calculation (GGA-PBE) on an optimized crystal structure of SrScPt3.

* uncorrected energy: -21.1 eV per formula unit
* spin magnetization: 0.00 μB/cell
* energy relative to the elements: 1.000 eV/atom
* E above lowest polymorph: 1319 meV/atom

Cell lengths 5.1433, 5.1433, 5.1433 Å; angles 90.00, 90.00, 90.00 degrees
Last column: nearest neighbours and their distance in Å.
Sites, in units of the cell vectors:
1 Sc 0.5000 0.5000 0.5000  12 Pt 3.64
2 Sr 0.0000 0.0000 0.0000  6 Pt 2.57
3 Pt 0.0000 0.5000 0.0000  2 Sr 2.57
4 Pt 0.0000 0.0000 0.5000  2 Sr 2.57
5 Pt 0.5000 0.0000 0.0000  2 Sr 2.57

***

# 12
VASP calculation (GGA-PBE) on an optimized crystal structure of SrSc2Pt.

* uncorrected energy: -21.1 eV per formula unit
* spin magnetization: 0.49 μB/cell
* energy relative to the elements: -0.185 eV/atom
* E above lowest polymorph: 308 meV/atom

Cell lengths 4.1570, 4.5904, 4.9776 Å; angles 90.00, 90.00, 90.00 degrees
Last column: nearest neighbours and their distance in Å.
Sites, in units of the cell vectors:
1 Pt 0.0000 0.5000 0.5000  4 Sr 3.10, 8 Sc 3.24-3.39
2 Sc 0.0000 0.0000 0.0000  4 Sc 3.10, 4 Sr 3.24, 4 Pt 3.39
3 Sc 0.5000 0.5000 0.0000  4 Sc 3.10, 4 Pt 3.24, 4 Sr 3.39
4 Sr 0.5000 0.0000 0.5000  4 Pt 3.10, 8 Sc 3.24-3.39

***

# 13
VASP calculation (GGA-PBE) on an optimized crystal structure of SrSc2Pt2.

* uncorrected energy: -31.5 eV per formula unit
* spin magnetization: 0.00 μB/cell
* energy relative to the elements: -1.013 eV/atom
* E above lowest polymorph: 0 meV/atom

Cell lengths 4.4792, 4.4792, 6.6891 Å; angles 70.44, 70.44, 90.00 degrees
Last column: nearest neighbours and their distance in Å.
Sites, in units of the cell vectors:
1 Sc 0.7500 0.2500 0.5000  4 Pt 2.73
2 Sc 0.2500 0.7500 0.5000  4 Pt 2.73
3 Sr 0.0000 0.0000 0.0000  8 Pt 3.46, 8 Sc 3.70
4 Pt 0.3819 0.3819 0.2362  4 Sc 2.73, 1 Pt 2.78
5 Pt 0.6181 0.6181 0.7638  4 Sc 2.73, 1 Pt 2.78

***

# 14
VASP calculation (GGA-PBE) on an optimized crystal structure of SrSc2Pt.

* uncorrected energy: -20.5 eV per formula unit
* spin magnetization: 0.00 μB/cell
* energy relative to the elements: -0.019 eV/atom
* E above lowest polymorph: 474 meV/atom

Cell lengths 6.1865, 6.1865, 3.2551 Å; angles 76.50, 76.50, 120.02 degrees
Last column: nearest neighbours and their distance in Å.
Sites, in units of the cell vectors:
1 Pt 0.0000 0.5000 0.5000  4 Sr 3.09-3.28, 4 Sc 3.14, 2 Pt 3.26
2 Sc 0.0000 0.0000 0.0000  6 Sc 3.09-3.28, 2 Pt 3.14, 2 Sr 3.14
3 Sc 0.5000 0.5000 0.0000  6 Sc 3.09-3.28, 2 Sr 3.14, 2 Pt 3.14
4 Sr 0.5000 0.0000 0.5000  4 Pt 3.09-3.28, 4 Sc 3.14, 2 Sr 3.26

***

# 15
VASP calculation (GGA-PBE) on an optimized crystal structure of SrSc2Pt.

* uncorrected energy: -21.6 eV per formula unit
* spin magnetization: 0.00 μB/cell
* energy relative to the elements: -0.300 eV/atom
* E above lowest polymorph: 193 meV/atom

Cell lengths 10.3206, 10.3206, 10.3206 Å; angles 21.87, 21.87, 21.87 degrees
Last column: nearest neighbours and their distance in Å.
Sites, in units of the cell vectors:
1 Sc 0.8783 0.8783 0.8783  3 Pt 2.64
2 Sc 0.1217 0.1217 0.1217  3 Pt 2.64
3 Sr 0.0000 0.0000 0.0000  2 Sc 3.68, 6 Sr 3.91
4 Pt 0.5000 0.5000 0.5000  6 Sc 2.64

***

# 16
VASP calculation (GGA-PBE) on an optimized crystal structure of Sr4ScPt.

* uncorrected energy: -14.7 eV per formula unit
* spin magnetization: 2.83 μB/cell
* energy relative to the elements: 0.726 eV/atom

Cell lengths 6.8272, 6.8272, 6.8272 Å; angles 60.00, 60.00, 60.00 degrees
Last column: nearest neighbours and their distance in Å.
Sites, in units of the cell vectors:
1 Sr 0.8745 0.3752 0.3752  6 Sr 3.41-3.42
2 Sr 0.3752 0.3752 0.8745  6 Sr 3.41-3.42
3 Sr 0.3752 0.8745 0.3752  6 Sr 3.41-3.42
4 Sr 0.3752 0.3752 0.3752  6 Sr 3.41-3.42
5 Sc 0.0000 0.0000 0.0000  12 Sr 4.00, 4 Pt 4.18
6 Pt 0.7500 0.7500 0.7500  12 Sr 4.00, 4 Sc 4.18

***

# 17
VASP calculation (GGA-PBE) on an optimized crystal structure of SrSc2Pt.

* uncorrected energy: -22.2 eV per formula unit
* spin magnetization: 0.00 μB/cell
* energy relative to the elements: -0.445 eV/atom
* E above lowest polymorph: 48 meV/atom

Cell lengths 6.3466, 6.3466, 5.4616 Å; angles 64.58, 64.58, 31.91 degrees
Last column: nearest neighbours and their distance in Å.
Sites, in units of the cell vectors:
1 Pt 0.7500 0.7500 0.7500  4 Sc 2.73
2 Sc 0.0576 0.0576 0.9424  2 Pt 2.73
3 Sc 0.4424 0.4424 0.5576  2 Pt 2.73
4 Sr 0.2500 0.2500 0.2500  4 Pt 3.24, 4 Sc 3.44-3.45, 2 Sr 3.49

***

# 18
VASP calculation (GGA-PBE) on an optimized crystal structure of Sr3ScPt.

* uncorrected energy: -12.5 eV per formula unit
* spin magnetization: 4.26 μB/cell
* energy relative to the elements: 0.976 eV/atom
* E above lowest polymorph: 1086 meV/atom

Cell lengths 5.9899, 5.9899, 5.9899 Å; angles 90.00, 90.00, 90.00 degrees
Last column: nearest neighbours and their distance in Å.
Sites, in units of the cell vectors:
1 Sc 0.0000 0.0000 0.0000  6 Sr 2.99
2 Sr 0.0000 0.5000 0.0000  2 Sc 2.99
3 Sr 0.0000 0.0000 0.5000  2 Sc 2.99
4 Sr 0.5000 0.0000 0.0000  2 Sc 2.99
5 Pt 0.5000 0.5000 0.5000  12 Sr 4.24

***

# 19
VASP calculation (GGA-PBE) on an optimized crystal structure of SrSc2Pt.

* uncorrected energy: -21.2 eV per formula unit
* spin magnetization: 0.00 μB/cell
* energy relative to the elements: -0.201 eV/atom
* E above lowest polymorph: 292 meV/atom

Cell lengths 5.0042, 5.0042, 5.0042 Å; angles 60.00, 60.00, 60.00 degrees
Last column: nearest neighbours and their distance in Å.
Sites, in units of the cell vectors:
1 Sc 0.2500 0.2500 0.2500  4 Sr 3.06, 4 Pt 3.06
2 Sc 0.7500 0.7500 0.7500  4 Pt 3.06, 4 Sr 3.06
3 Sr 0.0000 0.0000 0.0000  8 Sc 3.06
4 Pt 0.5000 0.5000 0.5000  8 Sc 3.06

***

# 20
VASP calculation (GGA-PBE) on an optimized crystal structure of SrSc2Pt.

* uncorrected energy: -21.8 eV per formula unit
* spin magnetization: 0.00 μB/cell
* energy relative to the elements: -0.353 eV/atom
* E above lowest polymorph: 140 meV/atom

Cell lengths 6.4183, 6.4183, 6.4183 Å; angles 147.16, 133.99, 57.68 degrees
Last column: nearest neighbours and their distance in Å.
Sites, in units of the cell vectors:
1 Pt 0.2308 0.7308 0.5000  2 Sc 2.59
2 Sc 0.0668 0.0668 0.0000  2 Pt 2.59
3 Sc 0.7486 0.2486 0.5000  4 Pt 3.10, 2 Sc 3.24, 2 Sr 3.41
4 Sr 0.4537 0.4537 0.0000  2 Pt 3.09, 6 Sc 3.35-3.41